## Ho6CuGe2 (PBE-GGA)

Data for a relaxed Ho6CuGe2 crystal.

```
9
Lattice="0.000 4.927 4.927 4.927 0.000 4.927 4.927 4.927 0.000" Properties=species:S:1:pos:R:3 pbc="T T T"
Cu 0.000 0.000 0.000
Ge 2.464 2.464 2.464
Ge 7.391 7.391 7.391
Ho 2.542 4.927 4.927
Ho 4.927 2.542 4.927
Ho 4.927 4.927 7.313
Ho 4.927 4.927 2.542
Ho 4.927 7.313 4.927
Ho 7.313 4.927 4.927
```

## Properties
- magnetic moment (μB per cell) = 0.0
- symmetry = Fm-3m, No. 225

***

## LiLu2Pt (PBE-GGA)

Data for a relaxed LiLu2Pt crystal.

```
8
Lattice="2.028 -3.513 0.000 2.028 3.513 0.000 0.000 0.000 15.384" Properties=species:S:1:pos:R:3 pbc="T T T"
Li 2.028 1.171 3.846
Li 2.028 -1.171 11.538
Lu 2.028 -1.171 1.415
Lu 2.028 -1.171 6.277
Lu 2.028 1.171 9.107
Lu 2.028 1.171 13.969
Pt 0.000 0.000 0.000
Pt 0.000 0.000 7.692
```

## Properties
- magnetic moment (μB per cell) = 0.0
- symmetry = P6_3/mmc, No. 194

***

## Al2Cu3 (PBE-GGA)

Data for a relaxed Al2Cu3 crystal.

```
10
Lattice="3.502 -2.134 0.000 3.502 2.134 0.000 -3.086 0.000 8.612" Properties=species:S:1:pos:R:3 pbc="T T T"
Al 3.355 0.000 1.328
Al 5.609 0.000 2.981
Al -1.692 0.000 5.631
Al 0.562 0.000 7.284
Cu 5.783 0.000 0.418
Cu 0.981 0.000 2.146
Cu 3.177 0.000 3.900
Cu 0.741 0.000 4.713
Cu 2.936 0.000 6.466
Cu -1.866 0.000 8.195
```

## Properties
- polymorph energy (0 for the lowest one) (eV/atom) = 0.000
- symmetry = C2/m, No. 12

***

## PaFe2 (PBE-GGA)

Data for a relaxed PaFe2 crystal.

```
6
Lattice="-2.884 -6.726 0.364 -2.151 -2.720 6.455 -7.138 -0.854 1.420" Properties=species:S:1:pos:R:3 pbc="T T T"
Fe -4.565 -3.863 3.090
Fe -6.007 -7.226 3.271
Fe -5.641 -5.223 6.317
Fe -8.134 -4.290 3.800
Pa -3.043 -2.575 2.060
Pa -6.087 -5.150 4.119
```

## Properties
- magnetic moment (μB per cell) = 1.7
- calculated formation energy (eV/atom) = 2.36
- symmetry = Fd-3m, No. 227

***

## BeNiAsPd (PBE-GGA)

Data for a relaxed BeNiAsPd crystal.

```
4
Lattice="0.000 2.957 2.957 2.957 0.000 2.957 2.957 2.957 0.000" Properties=species:S:1:pos:R:3 pbc="T T T"
As 0.000 0.000 0.000
Be 1.478 1.478 1.478
Ni 4.435 4.435 4.435
Pd 2.957 2.957 2.957
```

## Properties
- magnetic moment (μB per cell) = 0.0
- polymorph energy (0 for the lowest one) (eV/atom) = 0.120
- symmetry = F-43m, No. 216

***

## GdSnTe3Au (PBE-GGA)

Data for a relaxed GdSnTe3Au crystal.

```
12
Lattice="-5.112 -1.405 8.737 -3.722 -5.356 7.868 7.956 2.132 3.032" Properties=species:S:1:pos:R:3 pbc="T T T"
Au -3.188 -3.288 9.848
Au 2.310 -1.341 9.788
Gd -0.685 -0.885 2.928
Gd -0.193 -3.744 16.708
Sn -4.369 -5.031 15.878
Sn 3.491 0.401 3.758
Te 0.000 0.000 0.000
Te -1.624 -1.852 5.819
Te -3.258 -3.897 12.505
Te -0.439 -2.315 9.818
Te 2.380 -0.732 7.131
Te 0.746 -2.777 13.817
```

## Properties
- magnetic moment (μB per cell) = 0.0
- polymorph energy (0 for the lowest one) (eV/atom) = 0.033
- symmetry = C2/m, No. 12

***

## HoZrSb (PBE-GGA)

Data for a relaxed HoZrSb crystal.

```
3
Lattice="1.785 2.589 3.768 -2.872 1.043 3.840 0.793 -2.185 4.322" Properties=species:S:1:pos:R:3 pbc="T T T"
Ho -0.074 0.362 2.983
Sb 0.000 0.000 0.000
Zr -0.221 1.085 8.948
```

## Properties
- magnetic moment (μB per cell) = 0.9
- symmetry = F-43m, No. 216

***

## CsLuPt (PBE-GGA)

Data for a relaxed CsLuPt crystal.

```
3
Lattice="0.000 3.531 3.531 3.531 0.000 3.531 3.531 3.531 0.000" Properties=species:S:1:pos:R:3 pbc="T T T"
Cs 0.000 0.000 0.000
Lu 1.766 1.766 1.766
Pt 5.297 5.297 5.297
```

## Properties
- magnetic moment (μB per cell) = 0.0
- polymorph energy (0 for the lowest one) (eV/atom) = 0.842
- symmetry = F-43m, No. 216

***

## TlZnSi (PBE-GGA)

Data for a relaxed TlZnSi crystal.

```
3
Lattice="0.000 3.246 3.246 3.246 0.000 3.246 3.246 3.246 0.000" Properties=species:S:1:pos:R:3 pbc="T T T"
Si 0.000 0.000 0.000
Tl 1.623 1.623 1.623
Zn 4.869 4.869 4.869
```

## Properties
- polymorph energy (0 for the lowest one) (eV/atom) = 0.000
- symmetry = F-43m, No. 216

***

## HoNbAg (PBE-GGA)

Data for a relaxed HoNbAg crystal.

```
3
Lattice="0.000 3.328 3.328 3.328 0.000 3.328 3.328 3.328 0.000" Properties=species:S:1:pos:R:3 pbc="T T T"
Ag 3.328 3.328 3.328
Ho 0.000 0.000 0.000
Nb 1.664 1.664 1.664
```

## Properties
- magnetic moment (μB per cell) = 1.4
- polymorph energy (0 for the lowest one) (eV/atom) = 0.000
- calculated formation energy (eV/atom) = 0.98
- symmetry = F-43m, No. 216

***

## TbZrHg2Au4 (PBE-GGA)

Data for a relaxed TbZrHg2Au4 crystal.

```
8
Lattice="-2.161 0.900 4.280 -3.718 -2.891 -1.269 3.232 -5.368 2.761" Properties=species:S:1:pos:R:3 pbc="T T T"
Au -0.309 -0.831 2.799
Au -1.088 -2.727 0.024
Au 1.380 -3.637 4.242
Au 0.601 -5.533 1.468
Hg 0.000 0.000 0.000
Hg -1.324 -3.679 2.886
Tb 1.616 -2.684 1.381
Zr -2.939 -0.995 1.505
```

## Properties
- magnetic moment (μB per cell) = 0.0
- calculated formation energy (eV/atom) = -0.47
- symmetry = P4/mmm, No. 123

***

## PmCdCo (PBE-GGA)

Data for a relaxed PmCdCo crystal.

```
3
Lattice="1.170 -1.026 4.508 -3.159 -2.151 2.853 0.675 -4.534 1.315" Properties=species:S:1:pos:R:3 pbc="T T T"
Cd -0.657 -3.856 4.338
Co 0.000 0.000 0.000
Pm -0.328 -1.928 2.169
```

## Properties
- magnetic moment (μB per cell) = 0.4
- calculated formation energy (eV/atom) = 0.68
- symmetry = F-43m, No. 216

***

## Lu2Fe3W4N3 (PBE-GGA)

Data for a relaxed Lu2Fe3W4N3 crystal.

```
24
Lattice="4.575 -2.652 0.000 4.575 2.652 0.000 -3.010 0.000 13.094" Properties=species:S:1:pos:R:3 pbc="T T T"
Fe 1.551 -0.874 3.270
Fe 3.822 -2.229 3.273
Fe 6.094 -0.874 3.277
Fe 0.046 0.874 9.817
Fe 2.317 2.229 9.820
Fe 4.588 0.874 9.824
Lu 3.828 0.434 1.614
Lu 3.816 0.434 4.933
Lu 2.323 -0.434 8.161
Lu 2.311 -0.434 11.480
N 2.287 1.326 0.000
N 5.288 1.231 0.004
N 2.357 1.231 6.543
N 0.782 -1.326 6.547
N 3.782 -1.231 6.551
N 0.852 -1.231 13.090
W 0.756 0.428 1.145
W 6.876 0.447 1.149
W 0.768 0.447 5.398
W 6.888 0.428 5.402
W -0.749 -0.428 7.692
W 5.371 -0.447 7.696
W -0.737 -0.447 11.945
W 5.383 -0.428 11.949
```

## Properties
- magnetic moment (μB per cell) = 5.2
- symmetry = C2/c, No. 15

***

## NpAgAs (PBE-GGA)

Data for a relaxed NpAgAs crystal.

```
3
Lattice="0.000 3.305 3.305 3.305 0.000 3.305 3.305 3.305 0.000" Properties=species:S:1:pos:R:3 pbc="T T T"
Ag 1.652 1.652 1.652
As 0.000 0.000 0.000
Np 4.957 4.957 4.957
```

## Properties
- magnetic moment (μB per cell) = 4.9
- symmetry = F-43m, No. 216

***

## LiCuPtW (PBE-GGA)

Data for a relaxed LiCuPtW crystal.

```
4
Lattice="0.000 3.014 3.014 3.014 0.000 3.014 3.014 3.014 0.000" Properties=species:S:1:pos:R:3 pbc="T T T"
Cu 4.522 4.522 4.522
Li 0.000 0.000 0.000
Pt 3.014 3.014 3.014
W 1.507 1.507 1.507
```

## Properties
- magnetic moment (μB per cell) = 0.0
- polymorph energy (0 for the lowest one) (eV/atom) = 0.004
- symmetry = F-43m, No. 216

***

## Y2Er3Lu3Te (PBE-GGA)

Data for a relaxed Y2Er3Lu3Te crystal.

```
9
Lattice="-6.012 5.191 -4.501 -2.351 -3.885 7.920 1.223 3.014 1.841" Properties=species:S:1:pos:R:3 pbc="T T T"
Er -1.045 2.937 -0.319
Er -0.036 0.436 3.103
Er -5.447 2.453 3.398
Lu -3.706 3.200 -2.774
Lu -3.208 0.501 1.311
Lu -1.449 -2.395 4.882
Te 0.000 0.000 0.000
Y -4.180 3.672 0.560
Y -2.960 0.647 4.700
```

## Properties
- magnetic moment (μB per cell) = 0.0
- polymorph energy (0 for the lowest one) (eV/atom) = 0.000
- symmetry = P-62m, No. 189

***

## RbSrGd (PBE-GGA)

Data for a relaxed RbSrGd crystal.

```
3
Lattice="-1.695 -6.034 -0.354 -4.982 -2.055 3.219 -5.253 -1.612 -3.036" Properties=species:S:1:pos:R:3 pbc="T T T"
Gd -2.982 -2.425 -0.043
Rb 0.000 0.000 0.000
Sr -8.947 -7.275 -0.128
```

## Properties
- magnetic moment (μB per cell) = 1.5
- symmetry = F-43m, No. 216

***

## La5MgRe3O16 (PBE-GGA)

Data for a relaxed La5MgRe3O16 crystal.

```
25
Lattice="3.934 -4.018 0.001 3.943 4.022 0.004 -0.852 -0.030 10.063" Properties=species:S:1:pos:R:3 pbc="T T T"
La 1.964 -1.969 2.014
La 1.970 1.904 2.076
La -0.426 -0.015 5.031
La 5.055 -1.930 7.991
La 5.061 1.943 8.053
Mg 3.939 0.002 0.002
O 4.317 2.040 0.011
O 5.971 -0.362 0.373
O 0.419 0.015 1.860
O 3.427 -0.022 1.981
O 5.873 0.005 3.249
O 3.913 1.908 3.659
O 3.955 -1.935 3.680
O 2.041 -0.031 4.349
O 4.984 0.005 5.719
O 3.070 1.909 6.387
O 3.112 -1.934 6.408
O 1.152 -0.031 6.818
O 3.598 -0.005 8.087
O 6.606 -0.041 8.208
O 1.054 0.335 9.694
O 2.708 -2.066 10.056
Re 0.000 0.000 0.000
Re 4.032 -0.013 3.962
Re 2.993 -0.014 6.105
```

## Properties
- magnetic moment (μB per cell) = 2.0
- symmetry = P-1, No. 2

***

## SmYGa2 (PBE-GGA)

Data for a relaxed SmYGa2 crystal.

```
4
Lattice="4.084 0.000 0.000 0.000 2.192 5.504 0.000 -2.192 5.504" Properties=species:S:1:pos:R:3 pbc="T T T"
Ga 2.042 0.000 0.839
Ga 0.000 0.000 10.194
Sm 2.042 0.000 3.956
Y 0.000 0.000 7.027
```

## Properties
- magnetic moment (μB per cell) = 0.0
- polymorph energy (0 for the lowest one) (eV/atom) = 0.000
- symmetry = Amm2, No. 38

***

## HoEr2Mg3Al2Zn (PBE-GGA)

Data for a relaxed HoEr2Mg3Al2Zn crystal.

```
9
Lattice="4.436 0.000 0.000 0.000 6.347 3.657 0.000 -6.347 3.657" Properties=species:S:1:pos:R:3 pbc="T T T"
Al 2.218 2.120 3.659
Al 2.218 -2.120 3.659
Er 0.000 3.675 2.119
Er 0.000 -3.675 2.119
Ho 0.000 0.000 3.080
Mg 2.218 1.531 0.882
Mg 2.218 -1.531 0.882
Mg 2.218 0.000 5.549
Zn 0.000 0.000 7.307
```

## Properties
- magnetic moment (μB per cell) = 0.0
- symmetry = Amm2, No. 38

***

DFT total energy? In order: -4.58; -4.76; -3.89; -6.34; -4.83; -4.20; -6.07; -2.81; -2.61; -4.86; -3.82; -3.57; -9.58; -6.84; -6.16; -5.09; -1.38; -8.36; -4.95; -3.32 eV per atom.